Material: TlCdAgPb
Method: DFT, PBE
State: relaxed

Summary:
**Energy of formation**: 0.1166 eV/atom
**Total energy**: -2.3437 eV/atom

```
data_TlCdAgPb
_chemical_formula_sum 'Tl4 Cd4 Ag4 Pb4'
_cell_length_a 7.4419
_cell_length_b 7.4419
_cell_length_c 7.4419
_cell_angle_alpha 90.00
_cell_angle_beta 90.00
_cell_angle_gamma 90.00
_space_group_name_H-M_alt 'F -4 3 m'
_space_group_IT_number 216
_space_group_name_Hall 'F -4 2 3'
loop_
_atom_site_label
_atom_site_fract_x
_atom_site_fract_y
_atom_site_fract_z
Tl1 0.0000 0.0000 0.0000
Cd1 0.2500 0.2500 0.7500
Ag1 0.2500 0.2500 0.2500
Pb1 0.0000 0.0000 0.5000
```